1.
Density functional theory data (GGA-PBE) for a relaxed structure of Ac3Pr3Zn2Hg.

a b c (Å): 9.201 9.201 3.998
angles (deg): 90.00 90.00 120.00
Sites, in units of the cell vectors:
Ac: 0.000 0.719 0.000
Ac: 0.281 0.281 0.000
Ac: 0.719 0.000 0.000
Pr: 0.000 0.394 0.500
Pr: 0.394 0.000 0.500
Pr: 0.606 0.606 0.500
Zn: 0.333 0.667 0.000
Zn: 0.667 0.333 0.000
Hg: 0.000 0.000 0.500



2.
Density functional theory data (GGA-PBE) for a relaxed structure of AcPrZnHg.

Values from the calculation:
Polymorph energy (0 for the lowest one) (kJ/mol of formula units): 10

a b c (Å): 5.509 5.509 5.509
angles (deg): 60.00 60.00 60.00
Sites, in units of the cell vectors:
Ac: 0.000 0.000 0.000
Pr: 0.500 0.500 0.500
Zn: 0.750 0.750 0.750
Hg: 0.250 0.250 0.250



3.
Density functional theory data (GGA-PBE) for a relaxed structure of AcPrZnHg.

Values from the calculation:
Polymorph energy (0 for the lowest one) (kJ/mol of formula units): 0

a b c (Å): 3.877 3.877 7.783
angles (deg): 90.00 90.00 90.00
Sites, in units of the cell vectors:
Ac: 0.000 0.000 0.000
Pr: 0.000 0.000 0.469
Zn: 0.500 0.500 0.255
Hg: 0.500 0.500 0.716



4.
Density functional theory data (GGA-PBE) for a relaxed structure of Ac3Hg2Pt4.

a b c (Å): 6.656 6.656 9.481
angles (deg): 114.96 114.96 38.38
Sites, in units of the cell vectors:
Ac: 0.000 0.000 0.000
Ac: 0.361 0.361 0.300
Ac: 0.639 0.639 0.700
Hg: 0.340 0.340 0.672
Hg: 0.660 0.660 0.328
Pt: 0.064 0.064 0.416
Pt: 0.298 0.298 0.944
Pt: 0.702 0.702 0.056
Pt: 0.936 0.936 0.584



5.
Density functional theory data (GGA-PBE) for a relaxed structure of AcHgPt2.

a b c (Å): 3.803 3.803 6.359
angles (deg): 90.00 90.00 90.00
Sites, in units of the cell vectors:
Ac: 0.000 0.000 0.000
Hg: 0.000 0.000 0.500
Pt: 0.500 0.500 0.279
Pt: 0.500 0.500 0.721



6.
Density functional theory data (GGA-PBE) for a relaxed structure of Ac5Hg2Pt2.

a b c (Å): 9.363 9.363 8.676
angles (deg): 90.00 90.00 51.53
Sites, in units of the cell vectors:
Ac: 0.000 0.000 0.000
Ac: 0.039 0.714 0.671
Ac: 0.214 0.539 0.171
Ac: 0.286 0.961 0.671
Ac: 0.461 0.786 0.171
Ac: 0.500 0.500 0.500
Ac: 0.539 0.214 0.829
Ac: 0.714 0.039 0.329
Ac: 0.786 0.461 0.829
Ac: 0.961 0.286 0.329
Hg: 0.212 0.212 0.000
Hg: 0.288 0.288 0.500
Hg: 0.712 0.712 0.500
Hg: 0.788 0.788 0.000
Pt: 0.136 0.864 0.371
Pt: 0.364 0.636 0.871
Pt: 0.636 0.364 0.129
Pt: 0.864 0.136 0.629



For reference, DFT total energy by record: -3.407, -2.959, -2.985, -5.002, -4.655, -4.397 eV/atom.
For reference, DFT formation energy by record: -0.127, -0.343, -0.369, -0.881, -0.532, -0.705 eV per atom.
For reference, mass density by record: 8.13, 8.90, 9.00, 13.26, 14.77, 10.75 g cm⁻³.